Entry 1:
TbPr3Nd7 | PBE | optimized geometry

Values from the calculation:
* ΔE to the lowest computed polymorph: 0 kJ/mol of formula units
* D(E_F): 16.6 states/eV/f.u.
* energy of formation: 0.1623 eV/atom
* mass density: 6.489 g cm⁻³
* magnetization: 0.00 μB/f.u.

abc: 8.866 7.283 7.283
angles: 120.00 90.00 90.00
Sites, in units of the cell vectors:
Nd 0.451 0.833 0.666
Pr 0.782 0.500 0.999
Nd 0.117 0.167 0.833
Nd 0.451 0.833 0.167
Tb 0.443 0.333 0.667
Pr 0.782 0.001 0.500
Nd 0.117 0.167 0.334
Pr 0.782 0.500 0.500
Nd 0.451 0.334 0.167
Nd 0.124 0.667 0.333
Nd 0.117 0.666 0.833

Entry 2:
SmZr2V | PBE | optimized geometry

Values from the calculation:
* ΔE to the lowest computed polymorph: 82 kJ/mol of formula units
* D(E_F): 5.4 states/eV/f.u.
* energy of formation: 0.4067 eV/atom
* mass density: 6.743 g cm⁻³
* magnetization: 1.04 μB/f.u.

abc: 3.191 3.191 10.875
angles: 81.56 81.56 60.00
Each line ends with the local moment (μB).
Sites, in units of the cell vectors:
Sm 0.000 0.000 0.000  -0.06
Zr 0.900 0.900 0.300  -0.01
V 0.500 0.500 0.500  1.04
Zr 0.100 0.100 0.700  -0.01

Entry 3:
AgSe2N2 | PBE | optimized geometry

Values from the calculation:
* ΔE to the lowest computed polymorph: 232 kJ/mol of formula units
* D(E_F): 1.9 states/eV/f.u.
* uncorrected formation energy: 171.9 kJ per mole of atoms
* mass density: 4.581 g cm⁻³
* magnetization: 3.78 μB/f.u.

abc: 3.992 3.992 6.682
angles: 90.00 90.00 90.00
Each line ends with the local moment (μB).
Sites, in units of the cell vectors:
N 0.000 0.500 0.000  1.18
Se 0.500 0.500 0.500  0.04
Ag 0.000 0.000 0.000  0.24
N 0.500 0.000 0.000  1.18
Se 0.000 0.000 0.500  0.07

Entry 4:
TiTeOsS2 | PBE | optimized geometry

Values from the calculation:
* D(E_F): 9.4 states/eV/f.u.
* uncorrected formation energy: 142.4 kJ per mole of atoms
* mass density: 5.890 g cm⁻³
* magnetization: 0.02 μB/f.u.

abc: 4.965 4.915 4.965
angles: 90.00 90.00 90.00
Sites, in units of the cell vectors:
Te 0.000 0.000 0.000
Os 0.000 0.500 0.000
S 0.000 0.000 0.500
Ti 0.500 0.500 0.500
S 0.500 0.000 0.000

Entry 5:
Li3MgGe2 | PBE | optimized geometry

Values from the calculation:
* D(E_F): 1.5 states/eV/f.u.
* energy of formation: -0.2479 eV/atom
* mass density: 3.113 g cm⁻³
* magnetization: 0.00 μB/f.u.

abc: 4.344 6.854 8.564
angles: 120.97 90.00 108.47
Sites, in units of the cell vectors:
Mg 0.137 0.274 0.013
Li 0.602 0.204 0.721
Li 0.268 0.535 0.427
Ge 0.444 0.888 0.815
Li 0.398 0.796 0.279
Ge 0.217 0.434 0.741
Ge 0.556 0.112 0.185
Ge 0.783 0.566 0.259
Li 0.732 0.465 0.573
Li 0.956 0.912 0.620
Mg 0.863 0.726 0.987
Li 0.044 0.088 0.380

Entry 6:
Ba2ZnCoMo | PBE | optimized geometry

Values from the calculation:
* D(E_F): 16.8 states/eV/f.u.
* energy of formation: 1.2381 eV/atom
* mass density: 4.338 g cm⁻³
* magnetization: 4.94 μB/f.u.

abc: 6.217 4.901 6.217
angles: 90.00 90.00 90.00
Each line ends with the local moment (μB).
Sites, in units of the cell vectors:
Co 0.500 0.500 0.500  1.95
Mo 0.000 0.500 0.000  2.72
Ba 0.500 0.000 0.000  -0.07
Ba 0.000 0.000 0.500  -0.04
Zn 0.000 0.000 0.000  0.01

Entry 7:
BaCa2Mg | PBE | optimized geometry

Values from the calculation:
* D(E_F): 4.5 states/eV/f.u.
* energy of formation: -0.0173 eV/atom
* mass density: 2.420 g cm⁻³
* magnetization: 0.00 μB/f.u.

abc: 4.293 4.293 9.001
angles: 90.00 90.00 90.00
Sites, in units of the cell vectors:
Ca 0.500 0.500 0.284
Ba 0.500 0.500 0.717
Ca 0.000 0.000 0.034
Mg 0.000 0.000 0.466

Entry 8:
LaTm2ScIn4 | PBE | optimized geometry

Values from the calculation:
* D(E_F): 5.1 states/eV/f.u.
* energy of formation: -0.4181 eV/atom
* mass density: 7.712 g cm⁻³
* magnetization: 0.00 μB/f.u.

abc: 5.286 5.286 9.246
angles: 73.39 73.39 60.00
Sites, in units of the cell vectors:
In 0.620 0.620 0.139
In 0.871 0.871 0.386
In 0.129 0.129 0.614
Sc 0.500 0.500 0.500
La 0.000 0.000 0.000
In 0.380 0.380 0.861
Tm 0.249 0.249 0.253
Tm 0.751 0.751 0.747

Entry 9:
Tb3CoSe | PBE | optimized geometry

Values from the calculation:
* D(E_F): 4.2 states/eV/f.u.
* uncorrected formation energy: -73.6 kJ per mole of atoms
* mass density: 8.467 g cm⁻³
* magnetization: 0.00 μB/f.u.

abc: 3.833 8.319 7.882
angles: 106.40 90.00 90.00
Sites, in units of the cell vectors:
Tb 0.750 0.247 0.074
Tb 0.250 0.596 0.326
Tb 0.750 0.404 0.674
Co 0.250 0.420 0.940
Tb 0.250 0.753 0.926
Co 0.750 0.580 0.060
Se 0.750 0.758 0.616
Tb 0.250 0.059 0.692
Tb 0.750 0.941 0.308
Se 0.250 0.242 0.384

Entry 10:
TaIn2P | PBE | optimized geometry

Values from the calculation:
* D(E_F): 2.3 states/eV/f.u.
* energy of formation: 0.0986 eV/atom
* mass density: 8.876 g cm⁻³
* magnetization: 0.00 μB/f.u.

abc: 5.913 5.913 4.956
angles: 65.49 65.49 31.91
Sites, in units of the cell vectors:
In 0.229 0.229 0.273
P 0.465 0.465 0.534
Ta 0.788 0.788 0.714
In 0.019 0.019 0.979

Entry 11:
Sc2AgHg | PBE | optimized geometry

Values from the calculation:
* D(E_F): 5.1 states/eV/f.u.
* energy of formation: -0.1175 eV/atom
* mass density: 8.134 g cm⁻³
* magnetization: 0.93 μB/f.u.

abc: 4.863 4.863 4.863
angles: 60.00 60.00 60.00
Each line ends with the local moment (μB).
Sites, in units of the cell vectors:
Hg 0.750 0.750 0.750  -0.01
Sc 0.250 0.250 0.250  0.37
Sc 0.000 0.000 0.000  0.36
Ag 0.500 0.500 0.500  0.01

Entry 12:
Ce2ErAl | PBE | optimized geometry

Values from the calculation:
* ΔE to the lowest computed polymorph: 0 kJ/mol of formula units
* D(E_F): 8.7 states/eV/f.u.
* energy of formation: -0.1821 eV/atom
* mass density: 7.666 g cm⁻³
* magnetization: 0.11 μB/f.u.

abc: 4.996 6.481 6.348
angles: 90.03 90.00 90.00
Sites, in units of the cell vectors:
Al 0.250 0.330 0.250
Al 0.750 0.670 0.750
Ce 0.750 0.113 0.469
Ce 0.250 0.887 0.968
Er 0.750 0.603 0.250
Er 0.250 0.397 0.750
Ce 0.750 0.113 0.032
Ce 0.250 0.887 0.531